Here is a relaxed DyHoInRu crystal from Alexandria. Energies are from PBE.

Results
- Space group: P4mm
- Energy above the lowest structure with this stoichiometry: 0.000 eV per atom
- Calculated formation energy: -182 kJ/mol of formula units
- DOS(E_F): 2.90 states/eV per cell

The structure in POSCAR format:
```
DyHoInRu
1.0
3.447 0.000 0.000
0.000 3.447 0.000
0.000 0.000 7.810
Dy Ho In Ru
1 1 1 1
direct
0.000 0.000 0.000
0.000 0.000 0.578
0.500 0.500 0.290
0.500 0.500 0.787
```